Here is a relaxed structure of Ta2TeOs from the Alexandria database. Energies are from PBE.

Calculated values
magnetic moment = 0.0 μB/cell
theoretical density = 16.07 g/cm3
E_tot = -0.340 hartree per atom
calculated volume = 17.560 Å³/atom

```
Ta2TeOs
1.0
-2.0028 2.0028 4.3775
2.0028 -2.0028 4.3775
2.0028 2.0028 -4.3775
Ta Te Os
2 1 1
direct
0.2500 0.7500 0.5000
0.7500 0.2500 0.5000
0.0000 0.0000 0.0000
0.5000 0.5000 0.0000
```

***

Here is a relaxed structure of SrOs2Cl from the Alexandria database. Energies are from PBE.

Calculated values
magnetic moment = 0.0 μB/cell
theoretical density = 11.64 g/cm3
polymorph energy (0 for the lowest one) = 136.7 kJ/mol of atoms
calculated volume = 17.958 Å³/atom

```
SrOs2Cl
1.0
1.4793 -2.5467 0.0000
1.4793 2.5467 0.0000
0.0000 0.0000 9.5333
Sr Os Cl
1 2 1
direct
0.0000 0.0000 0.0000
0.5000 0.5000 0.2757
0.5000 0.5000 0.7243
0.0000 0.0000 0.5000
```

***

Here is a relaxed structure of Ho4Ni2Au from the Alexandria database. Energies are from PBE.

Calculated values
magnetic moment = 0.0 μB/cell
theoretical density = 10.22 g/cm3
formation enthalpy at 0 K = -44 kJ/mol of atoms
calculated volume = 22.604 Å³/atom

```
Ho4Ni2Au
1.0
6.8335 0.0000 0.0000
-1.9332 6.8676 0.0000
-2.2813 -2.9243 6.7434
Ho Ni Au
8 4 2
direct
0.0000 0.0000 0.0000
0.0134 0.4185 0.8275
0.2613 0.7977 0.6795
0.3556 0.5416 0.2857
0.4328 0.1355 0.4665
0.5745 0.5448 0.9047
0.8003 0.3622 0.2475
0.8802 0.9547 0.4281
0.0651 0.7380 0.2183
0.1823 0.3612 0.5224
0.3466 0.2146 0.9472
0.6554 0.1389 0.8314
0.4555 0.8910 0.1062
0.7593 0.6377 0.6136
```

***

Here is a relaxed structure of Tb2Tm2Tl3 from the Alexandria database. Energies are from PBE.

Calculated values
magnetic moment = 0.0 μB/cell
theoretical density = 10.64 g/cm3
formation enthalpy at 0 K = -20 kJ/mol of atoms
polymorph energy (0 for the lowest one) = 0.0 kJ/mol of atoms
calculated volume = 28.291 Å³/atom

```
Tb2Tm2Tl3
1.0
1.7464 -15.9495 0.0000
1.7464 15.9495 0.0000
0.0000 0.0000 3.5550
Tb Tm Tl
2 2 3
direct
0.0688 0.9312 0.0000
0.9312 0.0688 0.0000
0.2026 0.7974 0.0000
0.7974 0.2026 0.0000
0.3625 0.6375 0.5000
0.5000 0.5000 0.5000
0.6375 0.3625 0.5000
```